1.
Below is a PBEsol-optimized structure of Sr2TcAs, with properties calculated at the meta-GGA SCAN level.

Geometry as POSCAR:
```
Sr2TcAs
1.0
7.078 0.000 0.000
0.000 7.078 0.000
0.000 0.000 7.078
Sr Tc As
8 4 4
Direct
0.000 0.000 0.000 Sr
0.000 0.500 0.500 Sr
0.250 0.250 0.250 Sr
0.250 0.750 0.750 Sr
0.500 0.000 0.500 Sr
0.500 0.500 0.000 Sr
0.750 0.250 0.750 Sr
0.750 0.750 0.250 Sr
0.250 0.250 0.750 Tc
0.250 0.750 0.250 Tc
0.750 0.250 0.250 Tc
0.750 0.750 0.750 Tc
0.000 0.000 0.500 As
0.000 0.500 0.000 As
0.500 0.000 0.000 As
0.500 0.500 0.500 As
```

Computed properties:
Its space-group type is No. 216. Its calculated total energy is -24.65 eV per atom. For the density of states at the Fermi level, the calculation gives 0.228 states/eV per atom. As for the magnetic moment: 8.271 μB/cell. As for the formation energy from the elements: 1.20 eV/f.u.

=====

2.
Below is a PBEsol-optimized structure of TaRuF2, with properties calculated at the meta-GGA SCAN level.

Geometry as POSCAR:
```
TaRuF2
1.0
5.813 0.000 0.000
0.000 5.813 0.000
0.000 0.000 5.813
Ta Ru F
4 4 8
Direct
0.000 0.000 0.000 Ta
0.000 0.500 0.500 Ta
0.500 0.000 0.500 Ta
0.500 0.500 0.000 Ta
0.000 0.000 0.500 Ru
0.000 0.500 0.000 Ru
0.500 0.000 0.000 Ru
0.500 0.500 0.500 Ru
0.250 0.250 0.250 F
0.250 0.250 0.750 F
0.250 0.750 0.250 F
0.250 0.750 0.750 F
0.750 0.250 0.250 F
0.750 0.250 0.750 F
0.750 0.750 0.250 F
0.750 0.750 0.750 F
```

Computed properties:
Its space-group type is No. 225. Its calculated total energy is -27.13 eV per atom. For the density of states at the Fermi level, the calculation gives 0.589 states/eV per atom. As for the magnetic moment: 6.318 μB/cell. The energy relative to the elements, uncorrected is -0.19 kcal/mol of atoms.

=====

Q: Look up the magnetic moment of the first one.
A: 8.271 μB/cell